# 1
A relaxed CsLi3Pa4S12 crystal. Source: the Alexandria database, functional GGA-PBE.

The structure belongs to space group Im-3 (No. 204); the cell edges are 9.9880, 9.9880 and 9.9880 Å and the angles 90.00°, 90.00° and 90.00°. The inequivalent atoms are Cs at (0.0000, 0.0000, 0.0000), Li at (0.0000, 0.0000, 0.5000), Pa at (0.2500, 0.2500, 0.2500) and S at (0.0000, 0.3092, 0.1835).

The calculated volume is 996.4 Å³ per cell. As for the density of states at the Fermi level: 0.0 states/eV/cell. The total energy comes out at -6.166 eV per atom. The formation energy (no corrections) is -29.2 eV per formula unit. The crystal system is cubic.

***

# 2
A relaxed Cs3LiPa3S8 crystal. Source: the Alexandria database, functional GGA-PBE.

The structure belongs to space group R-3m (No. 166, hexagonal axes); the cell edges are 8.1373, 8.1373 and 24.4514 Å and the angles 90.00°, 90.00° and 120.00°. The inequivalent atoms are Cs at (0.0000, 0.5000, 0.0000), Li at (0.0000, 0.0000, 0.5000), Pa at (0.0000, 0.5000, 0.5000), S at (0.0000, 0.0000, 0.2277) and S at (0.0128, 0.5064, 0.7747).

The calculated volume is 1402.1 Å³ per cell. As for the density of states at the Fermi level: 46.5 states/eV/cell. The total energy comes out at -5.896 eV per atom. The formation energy (no corrections) is -22.5 eV per formula unit. The crystal system is trigonal.

***

# 3
A relaxed CsLi2Pa2Se6 crystal. Source: the Alexandria database, functional GGA-PBE.

The structure belongs to space group P-1 (No. 2); the cell edges are 7.2112, 7.5649 and 7.5878 Å and the angles 60.27°, 85.24° and 78.44°. The inequivalent atoms are Cs at (0.0000, 0.0000, 0.0000), Li at (0.4988, 0.6161, 0.7482), Pa at (0.0017, 0.3313, 0.3355), Se at (0.2390, 0.5290, 0.4303), Se at (0.2394, 0.9524, 0.5795) and Se at (0.2507, 0.3892, 0.0039).

The calculated volume is 352.1 Å³ per cell. As for the density of states at the Fermi level: 9.9 states/eV/cell. The total energy comes out at -5.350 eV per atom. The formation energy (no corrections) is -14.3 eV per formula unit. The crystal system is triclinic.

***

# 4
A relaxed Cs2LiPa2Se6 crystal. Source: the Alexandria database, functional GGA-PBE.

The structure belongs to space group C2/m (No. 12); the cell edges are 7.2666, 12.6765 and 8.8268 Å and the angles 90.00°, 104.84° and 90.00°. The inequivalent atoms are Cs at (0.0000, 0.1601, 0.0000), Li at (0.0000, 0.0000, 0.5000), Pa at (0.0000, 0.3342, 0.5000), Se at (0.2084, 0.5000, 0.6797) and Se at (0.2307, 0.1756, 0.6806).

The calculated volume is 786.0 Å³ per cell. As for the density of states at the Fermi level: 18.4 states/eV/cell. The total energy comes out at -5.350 eV per atom. The formation energy (no corrections) is -15.3 eV per formula unit. The crystal system is monoclinic.